{"formula": "CrPdO", "functional": "PBE+U", "state": "optimized geometry", "lattice_angstrom": [[2.8876, 0.0000, 0.0000], [0.0000, 2.8876, 0.0000], [0.0000, 0.0000, 9.4785]], "species": ["Cr", "Cr", "Pd", "Pd", "O", "O"], "frac_coords": [[0.2500, 0.2500, 0.1520], [0.7500, 0.7500, 0.8480], [0.2500, 0.2500, 0.6003], [0.7500, 0.7500, 0.3997], [0.2500, 0.2500, 0.8782], [0.7500, 0.7500, 0.1218]], "m_tot_mub_per_atom": 1.1753, "spacegroup": "P4/nmm", "density_g_cm3": 7.33, "e_tot_ev_per_atom": -6.75}